# 1
The following is a DFT calculation (GGA-PBE) of an optimized crystal structure of ZnFeIr2.

Cell and atoms, written as extended XYZ:
```
4
Lattice="4.7020 0.0040 -0.0066 3.9008 2.6253 -0.0066 0.7379 0.2255 4.4758" Properties=species:S:1:pos:R:3 pbc="T T T"
Ir 6.9638 2.1284 3.3628
Ir 0.0232 0.0071 0.0156
Fe 2.3739 0.7255 1.0914
Zn 4.6501 1.4212 2.2240
```

DFT total energy = -6.90 eV/atom
size of the total moment = 0.622 μB/atom
ΔE_f = -0.0366 eV per atom



# 2
The following is a DFT calculation (GGA-PBE) of an optimized crystal structure of ZnFe2Ir.

Cell and atoms, written as extended XYZ:
```
4
Lattice="8.6645 0.0043 0.0025 8.2492 2.6504 0.0025 8.2492 1.2948 2.3126" Properties=species:S:1:pos:R:3 pbc="T T T"
Ir 12.6439 1.9846 1.1646
Fe 25.1228 3.9433 2.3140
Fe 6.3150 0.9912 0.5817
Zn 18.8254 2.9548 1.7340
```

DFT total energy = -6.72 eV/atom
size of the total moment = 1.283 μB/atom
ΔE_f = 0.0421 eV per atom



# 3
The following is a DFT calculation (GGA-PBE) of an optimized crystal structure of ZnFeIr2.

Cell and atoms, written as extended XYZ:
```
4
Lattice="2.7289 0.0000 0.0000 0.0000 2.7289 0.0000 0.0000 0.0000 7.4311" Properties=species:S:1:pos:R:3 pbc="T T T"
Ir 1.3645 1.3645 1.8475
Ir 0.0000 0.0000 7.3790
Fe 1.3645 1.3645 5.5900
Zn 0.0000 0.0000 3.7612
```

DFT total energy = -6.87 eV/atom
size of the total moment = 0.572 μB/atom
ΔE_f = -0.0103 eV per atom



# 4
The following is a DFT calculation (GGA-PBE) of an optimized crystal structure of ZnFeIr2.

Cell and atoms, written as extended XYZ:
```
4
Lattice="-0.9757 1.3678 2.1248 -1.3708 -2.1933 -0.8049 4.7480 -4.9330 5.3558" Properties=species:S:1:pos:R:3 pbc="T T T"
Ir 4.7238 -4.9078 5.3285
Ir 2.3982 -2.4916 2.7052
Fe 2.3877 -4.1125 4.6768
Zn 0.0137 -1.6460 1.9989
```

DFT total energy = -6.86 eV/atom
size of the total moment = 0.924 μB/atom
ΔE_f = 0.0046 eV per atom



Repeat the second record exactly.
The following is a DFT calculation (GGA-PBE) of an optimized crystal structure of ZnFe2Ir.

Cell and atoms, written as extended XYZ:
```
4
Lattice="8.6645 0.0043 0.0025 8.2492 2.6504 0.0025 8.2492 1.2948 2.3126" Properties=species:S:1:pos:R:3 pbc="T T T"
Ir 12.6439 1.9846 1.1646
Fe 25.1228 3.9433 2.3140
Fe 6.3150 0.9912 0.5817
Zn 18.8254 2.9548 1.7340
```

DFT total energy = -6.72 eV/atom
size of the total moment = 1.283 μB/atom
ΔE_f = 0.0421 eV per atom



Look up the ΔE_f of the first one. -0.0366 eV per atom